No. 1
# LiOsRu2

A relaxed structure of LiOsRu2 (PBE-GGA, Alexandria).

The structure in POSCAR format:
```
LiOsRu2
1.0
4.396 0.000 0.000
0.000 4.396 0.000
0.000 0.000 2.826
Li Os Ru
1 1 2
Direct
0.500 0.000 0.500
0.000 0.500 0.500
0.000 0.000 0.000
0.500 0.500 0.000
```

Output
ΔH_f (0 K): 316 meV/atom
VASP energy: -30.4 eV/cell
Calculated volume: 54.62 Å³/cell

---

No. 2
# LiOsRu2

A relaxed structure of LiOsRu2 (PBE-GGA, Alexandria).

The structure in POSCAR format:
```
LiOsRu2
1.0
0.000 2.998 2.998
2.998 0.000 2.998
2.998 2.998 0.000
Ru Os Li
2 1 1
Direct
0.250 0.250 0.250
0.750 0.750 0.750
0.500 0.500 0.500
0.000 0.000 0.000
```

Output
ΔH_f (0 K): 217 meV/atom
VASP energy: -30.8 eV/cell
Calculated volume: 53.90 Å³/cell

---

No. 3
# LiOsRu2

A relaxed structure of LiOsRu2 (PBE-GGA, Alexandria).

The structure in POSCAR format:
```
LiOsRu2
1.0
7.151 0.000 0.000
0.000 7.151 0.000
3.576 3.576 2.543
Ru Os Li
4 2 2
Direct
0.671 0.125 0.250
0.079 0.625 0.250
0.375 0.329 0.750
0.875 0.921 0.750
0.000 0.000 0.000
0.750 0.250 0.500
0.500 0.500 0.000
0.250 0.750 0.500
```

Output
ΔH_f (0 K): 723 meV/atom
VASP energy: -57.6 eV/cell
Calculated volume: 130.03 Å³/cell

---

No. 4
# LiOs2Ru

A relaxed structure of LiOs2Ru (PBE-GGA, Alexandria).

The structure in POSCAR format:
```
LiOs2Ru
1.0
-4.071 2.776 -0.510
-4.264 -2.069 1.439
4.527 1.476 1.366
Li Os Ru
1 2 1
Direct
0.252 0.752 0.500
0.010 0.010 0.000
0.751 0.251 0.500
0.487 0.487 0.000
```

Output
ΔH_f (0 K): 292 meV/atom
VASP energy: -32.5 eV/cell
Calculated volume: 52.85 Å³/cell